1.
Computed, not measured: KIrF5 after structural relaxation at the PBE level of DFT.

abc: 9.5397 7.4505 7.7111
angles: 90.00 109.53 90.00
Closest atoms and distances in Å follow each position.
Space group C2/c (No. 15)
Asymmetric unit:
K: 0.0000 0.0347 0.2500 [4 per cell]  7 F 2.60-2.82
Ir: 0.0000 0.5000 0.0000 [4 per cell]  6 F 1.93-2.03
F: 0.0000 0.4129 0.2500 [4 per cell]  2 Ir 2.03
F: 0.0351 0.2461 0.9680 [8 per cell]  1 Ir 1.95
F: 0.2119 0.4564 0.5999 [8 per cell]  1 Ir 1.93

Summary:
* E_form (uncorrected): -185.0 kJ/mol of atoms
* size of the total moment: 0.14 μB/atom
* density of states at the Fermi level: 8.892 states/eV per cell

2.
Computed, not measured: K4IrF10 after structural relaxation at the PBE level of DFT.

abc: 9.4370 9.4370 5.9091
angles: 90.00 90.00 90.00
Closest atoms and distances in Å follow each position.
Space group I4/m (No. 87)
Asymmetric unit:
K: 0.1003 0.2998 0.0000 [8 per cell]  8 F 2.58-2.85
Ir: 0.0000 0.0000 0.5000 [2 per cell]  8 F 2.02
F: 0.0000 0.5000 0.2500 [4 per cell]  4 K 2.58
F: 0.0840 0.8467 0.3030 [16 per cell]  1 Ir 2.02

Summary:
* E_form (uncorrected): -203.4 kJ/mol of atoms
* size of the total moment: 0.07 μB/atom
* density of states at the Fermi level: 17.256 states/eV per cell

3.
Computed, not measured: KIrF after structural relaxation at the PBE level of DFT.

abc: 20.6313 2.9255 3.7595
angles: 90.00 90.09 90.00
Closest atoms and distances in Å follow each position.
Space group Cm (No. 8)
Asymmetric unit:
K: 0.0000 0.0000 0.0000 [2 per cell]  6 F 2.57-2.63
K: 0.1613 0.0000 0.5023 [2 per cell]  4 F 2.64, 2 K 2.93
Ir: 0.3013 0.5000 0.0037 [2 per cell]  4 Ir 2.54
Ir: 0.3440 0.0000 0.5043 [2 per cell]  1 F 2.25
F: 0.1061 0.5000 0.0017 [2 per cell]  6 K 2.63-2.64, 2 F 2.93
F: 0.4532 0.0000 0.4993 [2 per cell]  1 Ir 2.25

Summary:
* relative energy among the computed polymorphs: 0.00 eV per formula unit
* E_form (uncorrected): -117.8 kJ/mol of atoms
* size of the total moment: 0.00 μB/atom
* density of states at the Fermi level: 7.581 states/eV per cell

4.
Computed, not measured: KIr2F after structural relaxation at the PBE level of DFT.

abc: 6.5787 6.5787 6.5787
angles: 90.00 90.00 90.00
Closest atoms and distances in Å follow each position.
Space group Fm-3m (No. 225)
Asymmetric unit:
K: 0.0000 0.0000 0.0000 [4 per cell]  8 Ir 2.85
Ir: 0.2500 0.2500 0.2500 [8 per cell]  4 F 2.85, 4 K 2.85
F: 0.0000 0.0000 0.5000 [4 per cell]  8 Ir 2.85

Summary:
* relative energy among the computed polymorphs: 4.17 eV per formula unit
* E_form (uncorrected): 159.2 kJ/mol of atoms
* size of the total moment: 0.64 μB/atom
* density of states at the Fermi level: 27.573 states/eV per cell